(1)
The following is a GGA-PBE calculation of a relaxed structure of DyErBe2, from Alexandria.

Computed properties:
Polymorph energy (0 for the lowest one): 0.1 kJ per mole of atoms
Calculated formation energy: 0.4 eV/f.u.

Geometry as POSCAR:
```
DyErBe2
1.0
4.7981 0.0000 0.0000
2.3991 4.1553 0.0000
2.3991 1.3851 3.9177
Be Dy Er
2 1 1
Direct
0.2500 0.2500 0.2500
0.7500 0.7500 0.7500
0.0000 0.0000 0.0000
0.5000 0.5000 0.5000
```

(2)
The following is a GGA-PBE calculation of a relaxed structure of YSN3, from Alexandria.

Computed properties:
ΔE_f (raw): 451 meV/atom

Geometry as POSCAR:
```
YSN3
1.0
-3.1423 1.8421 -0.4626
-0.6701 -1.9120 -3.0621
-1.7772 -2.5361 1.9725
Y S N
1 1 3
Direct
0.5000 0.5000 0.5000
0.0000 0.0000 0.0000
0.0000 0.5000 0.0000
0.0000 0.0000 0.5000
0.5000 0.0000 0.0000
```

(3)
The following is a GGA-PBE calculation of a relaxed structure of AlBiTe2I, from Alexandria.

Computed properties:
ΔE_f (raw): 145 meV/atom
Polymorph energy (0 for the lowest one): 0.0 kJ per mole of atoms

Geometry as POSCAR:
```
AlBiTe2I
1.0
5.4552 0.0000 0.0000
0.0000 5.4552 0.0000
0.0000 0.0000 5.3275
I Te Bi Al
1 2 1 1
Direct
0.0000 0.0000 0.5000
0.0000 0.5000 0.0000
0.5000 0.0000 0.0000
0.5000 0.5000 0.5000
0.0000 0.0000 0.0000
```

(4)
The following is a GGA-PBE calculation of a relaxed structure of TbThPd2, from Alexandria.

Computed properties:
Polymorph energy (0 for the lowest one): 8.7 kJ per mole of atoms
Calculated formation energy: -3.0 eV/f.u.

Geometry as POSCAR:
```
TbThPd2
1.0
-1.7438 2.7744 1.4479
1.1879 -1.6736 4.6378
4.2680 2.7375 -0.1053
Tb Pd Th
1 2 1
Direct
0.5000 0.0000 0.0000
0.0000 0.0000 0.5000
0.0000 0.5000 0.0000
0.5000 0.5000 0.5000
```

(5)
The following is a GGA-PBE calculation of a relaxed structure of LaY6HoEr2, from Alexandria.

Computed properties:
Calculated formation energy: 1.2 eV/f.u.

Geometry as POSCAR:
```
LaY6HoEr2
1.0
-2.0305 6.5937 6.4883
-6.5885 2.5385 -5.2956
-1.7085 -6.6393 5.5585
La Y Ho Er
2 12 2 4
Direct
0.2500 0.9670 0.0330
0.7500 0.0330 0.9670
0.0576 0.1201 0.7572
0.4424 0.2428 0.8799
0.9424 0.8799 0.2428
0.5576 0.7572 0.1201
0.3188 0.9914 0.4439
0.1812 0.5561 0.0086
0.6812 0.0086 0.5561
0.8188 0.4439 0.9914
0.1120 0.7077 0.4827
0.3880 0.5173 0.2923
0.8880 0.2923 0.5173
0.6120 0.4827 0.7077
0.2500 0.4121 0.5879
0.7500 0.5879 0.4121
0.4468 0.7989 0.6955
0.0532 0.3045 0.2011
0.5532 0.2011 0.3045
0.9468 0.6955 0.7989
```

(6)
The following is a GGA-PBE calculation of a relaxed structure of MnBeFe2H, from Alexandria.

Computed properties:
Polymorph energy (0 for the lowest one): 0.0 kJ per mole of atoms

Geometry as POSCAR:
```
MnBeFe2H
1.0
-0.1836 -2.7106 -2.2465
3.5147 -0.0112 -0.2737
0.2098 -2.3251 2.7883
Be Mn Fe H
1 1 2 1
Direct
0.5000 0.5000 0.5000
0.0000 0.0000 0.5000
0.0000 0.5000 0.0000
0.5000 0.0000 0.0000
0.0000 0.0000 0.0000
```

(7)
The following is a GGA-PBE calculation of a relaxed structure of Pr8Sm2Tl, from Alexandria.

Computed properties:
Polymorph energy (0 for the lowest one): 6.1 kJ per mole of atoms
Calculated formation energy: 0.2 eV/f.u.

Geometry as POSCAR:
```
Pr8Sm2Tl
1.0
-5.1201 2.2926 1.0238
-1.3779 0.3362 -7.6440
-0.3266 -9.4282 3.5977
Pr Sm Tl
8 2 1
Direct
0.6370 0.8632 0.2740
0.3630 0.5892 0.7260
0.1777 0.1777 0.3554
0.0000 0.2587 0.0000
0.8223 0.8223 0.6446
0.6370 0.4108 0.2740
0.3630 0.1368 0.7260
0.0000 0.7413 0.0000
0.1920 0.6920 0.3841
0.8080 0.3080 0.6159
0.5000 0.0000 0.0000
```

(8)
The following is a GGA-PBE calculation of a relaxed structure of TbGa2Ni2Ru, from Alexandria.

Computed properties:
Calculated formation energy: 0.1 eV/f.u.

Geometry as POSCAR:
```
TbGa2Ni2Ru
1.0
-0.7271 -3.8982 2.4004
3.8715 -1.8207 -1.7840
2.7518 1.9430 3.9889
Tb Ga Ni Ru
1 2 2 1
Direct
0.0000 0.0000 0.5000
0.5000 0.0000 0.0000
0.0000 0.5000 0.0000
0.5000 0.5000 0.7491
0.5000 0.5000 0.2509
0.0000 0.0000 0.0000
```

| no. | M_tot (μB per atom) |
| --- | --- |
| 1 | 0.0001 |
| 2 | 0.0000 |
| 3 | 0.0000 |
| 4 | 0.0000 |
| 5 | 0.0000 |
| 6 | 1.2114 |
| 7 | 0.0000 |
| 8 | 0.0000 |